# 1
## Mg2BPt3 (PBE)

Data for a relaxed Mg2BPt3 crystal.

Its crystal system is trigonal. The calculation puts the formation energy at -565 meV/atom. The value obtained for the theoretical density is 12.0 g/cm³. The space group is No. 166. As for the total magnetic moment: 0.00 μB per cell.

a = 4.6980 Å, b = 4.6980 Å, c = 4.6980 Å
α = 70.31°, β = 70.31°, γ = 70.31°
Atoms (fractional coordinates):
Mg  0.3746  0.3746  0.3746
Mg  0.6254  0.6254  0.6254
B  0.0000  0.0000  0.0000
Pt  0.5000  0.0000  0.0000
Pt  0.0000  0.5000  0.0000
Pt  0.0000  0.0000  0.5000

---

# 2
## MgBPt3 (PBE)

Data for a relaxed MgBPt3 crystal.

Its crystal system is trigonal. The calculation puts the formation energy at 177 meV/atom. The value obtained for the theoretical density is 9.0 g/cm³. The space group is No. 160. As for the total magnetic moment: 0.00 μB per cell.

a = 5.4599 Å, b = 5.4599 Å, c = 5.4599 Å
α = 59.81°, β = 59.81°, γ = 59.81°
Atoms (fractional coordinates):
Mg  0.6256  0.6256  0.6256
Pt  0.6188  0.1348  0.6188
Pt  0.6188  0.6188  0.1348
Pt  0.1348  0.6188  0.6188
B  0.8770  0.8770  0.8770

---

Energy above the most stable polymorph in this dataset values (in meV per atom) by entry order: 0, 761.